Model A:
Here is a relaxed structure of CoI2O6 from Alexandria. Energies are from PBE+U.

**N(E_F)**: 0.03 states/eV/cell

Unit cell a=5.5113 b=5.5113 c=4.5290 alpha=90.00 beta=90.00 gamma=120.00
Space group P-31m (No. 162)
One atom of each set of equivalent atoms:
Co 0.0000 0.0000 0.0000 [1 per cell]
I 0.3333 0.6667 0.5000 [2 per cell]
O 0.0000 0.3378 0.2534 [6 per cell]

Model B:
Here is a relaxed structure of CoI2O6 from Alexandria. Energies are from PBE+U.

**N(E_F)**: 0.00 states/eV/cell

Unit cell a=5.541 b=5.340 c=9.420 alpha=90.00 beta=90.23 gamma=90.00
Space group P2_1 (No. 4)
One atom of each set of equivalent atoms:
Co 0.232 0.000 0.247 [2 per cell]
I 0.264 0.429 0.565 [2 per cell]
I 0.273 0.898 0.900 [2 per cell]
O 0.020 0.774 0.381 [2 per cell]
O 0.094 0.711 0.772 [2 per cell]
O 0.142 0.789 0.068 [2 per cell]
O 0.349 0.219 0.418 [2 per cell]
O 0.444 0.214 0.099 [2 per cell]
O 0.464 0.285 0.699 [2 per cell]

Model C:
Here is a relaxed structure of CoI2O6 from Alexandria. Energies are from PBE+U.

**N(E_F)**: 0.00 states/eV/cell

Unit cell a=11.0710 b=11.0710 c=5.1968 alpha=90.00 beta=90.00 gamma=120.00
Space group P3 (No. 143)
One atom of each set of equivalent atoms:
Co 0.0000 0.0000 0.0000 [1 per cell]
Co 0.0033 0.5103 0.4943 [3 per cell]
I 0.1498 0.3159 0.4235 [3 per cell]
I 0.3333 0.6667 0.8814 [1 per cell]
I 0.3470 0.1669 0.9123 [3 per cell]
I 0.6667 0.3333 0.4396 [1 per cell]
O 0.0252 0.1752 0.2079 [3 per cell]
O 0.0408 0.6839 0.2689 [3 per cell]
O 0.1306 0.4589 0.2855 [3 per cell]
O 0.1779 0.1306 0.7774 [3 per cell]
O 0.1795 0.6558 0.7216 [3 per cell]
O 0.3676 0.0366 0.7256 [3 per cell]
O 0.4630 0.3218 0.7175 [3 per cell]
O 0.5527 0.1697 0.2638 [3 per cell]

Ranked by calculated energy, most stable first: model B, model C, model A.

Model A:
Here is a relaxed structure of CoIO2 from Alexandria. Energies are from PBE+U.

**N(E_F)**: 13.56 states/eV/cell

Unit cell a=5.938 b=5.938 c=5.938 alpha=90.00 beta=90.00 gamma=90.00
Space group Fm-3m (No. 225)
One atom of each set of equivalent atoms:
Co 0.000 0.000 0.000 [4 per cell]
I 0.000 0.000 0.500 [4 per cell]
O 0.250 0.250 0.250 [8 per cell]

Model B:
Here is a relaxed structure of CoIO2 from Alexandria. Energies are from PBE+U.

**N(E_F)**: 8.88 states/eV/cell

Unit cell a=3.2512 b=3.2512 c=18.7062 alpha=90.00 beta=90.00 gamma=120.00
Space group R-3m (No. 166, hexagonal axes)
One atom of each set of equivalent atoms:
Co 0.0000 0.0000 0.0000 [3 per cell]
I 0.0000 0.0000 0.5000 [3 per cell]
O 0.0000 0.0000 0.3860 [6 per cell]

Model C:
Here is a relaxed structure of CoIO2 from Alexandria. Energies are from PBE+U.

**N(E_F)**: 12.28 states/eV/cell

Unit cell a=5.418 b=5.418 c=8.940 alpha=90.00 beta=90.00 gamma=90.00
Space group I-42d (No. 122)
One atom of each set of equivalent atoms:
Co 0.000 0.000 0.000 [4 per cell]
I 0.000 0.000 0.500 [4 per cell]
O 0.129 0.250 0.125 [8 per cell]

Ranked by calculated energy, most stable first: model B, model C, model A.

Model A:
Here is a relaxed structure of CoI3O from Alexandria. Energies are from PBE+U.

**N(E_F)**: 6.37 states/eV/cell

Unit cell a=5.108 b=5.108 c=5.108 alpha=90.00 beta=90.00 gamma=90.00
Space group Pm-3m (No. 221)
One atom of each set of equivalent atoms:
Co 0.000 0.000 0.000 [1 per cell]
I 0.000 0.500 0.500 [3 per cell]
O 0.500 0.500 0.500 [1 per cell]

Model B:
Here is a relaxed structure of CoI3O from Alexandria. Energies are from PBE+U.

**N(E_F)**: 18.66 states/eV/cell

Unit cell a=5.416 b=5.416 c=5.416 alpha=90.00 beta=90.00 gamma=90.00
Space group Pm-3m (No. 221)
One atom of each set of equivalent atoms:
Co 0.000 0.000 0.000 [1 per cell]
I 0.000 0.000 0.500 [3 per cell]
O 0.500 0.500 0.500 [1 per cell]

Ranked by calculated energy, most stable first: model A, model B.

Model A:
Here is a relaxed structure of Co2IO from Alexandria. Energies are from PBE+U.

**N(E_F)**: 19.78 states/eV/cell

Unit cell a=5.847 b=5.847 c=5.847 alpha=90.00 beta=90.00 gamma=90.00
Space group Fm-3m (No. 225)
One atom of each set of equivalent atoms:
Co 0.250 0.250 0.250 [8 per cell]
I 0.000 0.000 0.000 [4 per cell]
O 0.000 0.000 0.500 [4 per cell]

Model B:
Here is a relaxed structure of Co2IO from Alexandria. Energies are from PBE+U.

**N(E_F)**: 0.29 states/eV/cell

Unit cell a=5.092 b=5.092 c=11.680 alpha=90.00 beta=90.00 gamma=90.00
Space group I-42d (No. 122)
One atom of each set of equivalent atoms:
Co 0.049 0.250 0.125 [8 per cell]
I 0.000 0.000 0.500 [4 per cell]
O 0.000 0.000 0.000 [4 per cell]

Ranked by calculated energy, most stable first: model B, model A.

Model A:
Here is a relaxed structure of CoPIO2 from Alexandria. Energies are from PBE+U.

**N(E_F)**: 3.04 states/eV/cell

Unit cell a=3.733 b=3.733 c=7.284 alpha=90.00 beta=90.00 gamma=90.00
Space group P4/mmm (No. 123)
One atom of each set of equivalent atoms:
Co 0.000 0.000 0.000 [1 per cell]
P 0.500 0.500 0.500 [1 per cell]
I 0.000 0.000 0.500 [1 per cell]
O 0.000 0.500 0.000 [2 per cell]

Model B:
Here is a relaxed structure of CoPIO2 from Alexandria. Energies are from PBE+U.

**N(E_F)**: 3.96 states/eV/cell

Unit cell a=3.780 b=3.780 c=5.311 alpha=90.00 beta=90.00 gamma=90.00
Space group P4/mmm (No. 123)
One atom of each set of equivalent atoms:
Co 0.000 0.000 0.000 [1 per cell]
P 0.000 0.000 0.500 [1 per cell]
I 0.500 0.500 0.500 [1 per cell]
O 0.000 0.500 0.000 [2 per cell]

Ranked by calculated energy, most stable first: model B, model A.

Model A:
Here is a relaxed structure of CoPIO2 from Alexandria. Energies are from PBE+U.

**N(E_F)**: 1.28 states/eV/cell

Unit cell a=3.938 b=3.938 c=5.564 alpha=90.00 beta=90.00 gamma=90.00
Space group P4/mmm (No. 123)
One atom of each set of equivalent atoms:
Co 0.000 0.000 0.000 [1 per cell]
P 0.500 0.500 0.000 [1 per cell]
I 0.500 0.500 0.500 [1 per cell]
O 0.000 0.500 0.500 [2 per cell]

Model B:
Here is a relaxed structure of CoPIO2 from Alexandria. Energies are from PBE+U.

**N(E_F)**: 1.17 states/eV/cell

Unit cell a=3.597 b=3.597 c=6.436 alpha=90.00 beta=90.00 gamma=90.00
Space group P4/mmm (No. 123)
One atom of each set of equivalent atoms:
Co 0.000 0.000 0.000 [1 per cell]
P 0.500 0.500 0.500 [1 per cell]
I 0.500 0.500 0.000 [1 per cell]
O 0.000 0.500 0.500 [2 per cell]

Ranked by calculated energy, most stable first: model B, model A.

Model A:
Here is a relaxed structure of CoP2IO from Alexandria. Energies are from PBE+U.

**N(E_F)**: 1.88 states/eV/cell

Unit cell a=5.149 b=5.149 c=3.889 alpha=90.00 beta=90.00 gamma=90.00
Space group P4/mmm (No. 123)
One atom of each set of equivalent atoms:
Co 0.000 0.000 0.000 [1 per cell]
P 0.000 0.500 0.500 [2 per cell]
I 0.500 0.500 0.500 [1 per cell]
O 0.500 0.500 0.000 [1 per cell]

Model B:
Here is a relaxed structure of CoP2IO from Alexandria. Energies are from PBE+U.

**N(E_F)**: 2.82 states/eV/cell

Unit cell a=4.779 b=4.779 c=3.571 alpha=90.00 beta=90.00 gamma=90.00
Space group P4/mmm (No. 123)
One atom of each set of equivalent atoms:
Co 0.000 0.000 0.000 [1 per cell]
P 0.000 0.500 0.000 [2 per cell]
I 0.500 0.500 0.500 [1 per cell]
O 0.000 0.000 0.500 [1 per cell]

Ranked by calculated energy, most stable first: model B, model A.

Model A:
Here is a relaxed structure of CoPtI2O from Alexandria. Energies are from PBE+U.

**N(E_F)**: 6.38 states/eV/cell

Unit cell a=5.649 b=5.649 c=3.827 alpha=90.00 beta=90.00 gamma=90.00
Space group P4/mmm (No. 123)
One atom of each set of equivalent atoms:
Co 0.000 0.000 0.000 [1 per cell]
Pt 0.500 0.500 0.500 [1 per cell]
I 0.000 0.500 0.500 [2 per cell]
O 0.500 0.500 0.000 [1 per cell]

Model B:
Here is a relaxed structure of CoPtI2O from Alexandria. Energies are from PBE+U.

**N(E_F)**: 4.46 states/eV/cell

Unit cell a=5.488 b=5.488 c=3.499 alpha=90.00 beta=90.00 gamma=90.00
Space group P4/mmm (No. 123)
One atom of each set of equivalent atoms:
Co 0.000 0.000 0.000 [1 per cell]
Pt 0.500 0.500 0.500 [1 per cell]
I 0.000 0.500 0.000 [2 per cell]
O 0.000 0.000 0.500 [1 per cell]

Ranked by calculated energy, most stable first: model B, model A.

Model A:
Here is a relaxed structure of RbCoIO2 from Alexandria. Energies are from PBE+U.

**N(E_F)**: 4.43 states/eV/cell

Unit cell a=4.416 b=4.416 c=5.685 alpha=90.00 beta=90.00 gamma=90.00
Space group P4/mmm (No. 123)
One atom of each set of equivalent atoms:
Rb 0.000 0.000 0.000 [1 per cell]
Co 0.500 0.500 0.500 [1 per cell]
I 0.500 0.500 0.000 [1 per cell]
O 0.000 0.500 0.500 [2 per cell]

Model B:
Here is a relaxed structure of RbCoIO2 from Alexandria. Energies are from PBE+U.

**N(E_F)**: 5.73 states/eV/cell

Unit cell a=4.452 b=4.452 c=6.997 alpha=90.00 beta=90.00 gamma=90.00
Space group P4/mmm (No. 123)
One atom of each set of equivalent atoms:
Rb 0.000 0.000 0.000 [1 per cell]
Co 0.500 0.500 0.500 [1 per cell]
I 0.000 0.000 0.500 [1 per cell]
O 0.000 0.500 0.000 [2 per cell]

Ranked by calculated energy, most stable first: model A, model B.

Model A:
Here is a relaxed structure of CoReI2O from Alexandria. Energies are from PBE+U.

**N(E_F)**: 3.94 states/eV/cell

Unit cell a=5.584 b=5.584 c=3.532 alpha=90.00 beta=90.00 gamma=90.00
Space group P4/mmm (No. 123)
One atom of each set of equivalent atoms:
Co 0.000 0.000 0.000 [1 per cell]
Re 0.500 0.500 0.500 [1 per cell]
I 0.000 0.500 0.000 [2 per cell]
O 0.000 0.000 0.500 [1 per cell]

Model B:
Here is a relaxed structure of CoReI2O from Alexandria. Energies are from PBE+U.

**N(E_F)**: 5.05 states/eV/cell

Unit cell a=5.578 b=5.578 c=3.762 alpha=90.00 beta=90.00 gamma=90.00
Space group P4/mmm (No. 123)
One atom of each set of equivalent atoms:
Co 0.000 0.000 0.000 [1 per cell]
Re 0.500 0.500 0.500 [1 per cell]
I 0.000 0.500 0.500 [2 per cell]
O 0.500 0.500 0.000 [1 per cell]

Ranked by calculated energy, most stable first: model B, model A.

Model A:
Here is a relaxed structure of CoSI2O from Alexandria. Energies are from PBE+U.

**N(E_F)**: 4.75 states/eV/cell

Unit cell a=5.618 b=5.618 c=3.626 alpha=90.00 beta=90.00 gamma=90.00
Space group P4/mmm (No. 123)
One atom of each set of equivalent atoms:
Co 0.000 0.000 0.000 [1 per cell]
S 0.500 0.500 0.500 [1 per cell]
I 0.000 0.500 0.500 [2 per cell]
O 0.500 0.500 0.000 [1 per cell]

Model B:
Here is a relaxed structure of CoSI2O from Alexandria. Energies are from PBE+U.

**N(E_F)**: 4.37 states/eV/cell

Unit cell a=5.628 b=5.628 c=3.531 alpha=90.00 beta=90.00 gamma=90.00
Space group P4/mmm (No. 123)
One atom of each set of equivalent atoms:
Co 0.000 0.000 0.000 [1 per cell]
S 0.500 0.500 0.500 [1 per cell]
I 0.000 0.500 0.000 [2 per cell]
O 0.000 0.000 0.500 [1 per cell]

Ranked by calculated energy, most stable first: model B, model A.

Model A:
Here is a relaxed structure of CoSbIO2 from Alexandria. Energies are from PBE+U.

**N(E_F)**: 2.27 states/eV/cell

Unit cell a=4.176 b=4.176 c=4.955 alpha=90.00 beta=90.00 gamma=90.00
Space group P4/mmm (No. 123)
One atom of each set of equivalent atoms:
Co 0.000 0.000 0.000 [1 per cell]
Sb 0.500 0.500 0.500 [1 per cell]
I 0.000 0.000 0.500 [1 per cell]
O 0.000 0.500 0.000 [2 per cell]

Model B:
Here is a relaxed structure of CoSbIO2 from Alexandria. Energies are from PBE+U.

**N(E_F)**: 0.90 states/eV/cell

Unit cell a=4.004 b=4.004 c=6.785 alpha=90.00 beta=90.00 gamma=90.00
Space group P4/mmm (No. 123)
One atom of each set of equivalent atoms:
Co 0.000 0.000 0.000 [1 per cell]
Sb 0.500 0.500 0.500 [1 per cell]
I 0.500 0.500 0.000 [1 per cell]
O 0.000 0.500 0.500 [2 per cell]

Ranked by calculated energy, most stable first: model B, model A.